## TaCrCl4 (PBE)

Data for TaCrCl4 after structural relaxation.

Results
formation energy without anion corrections: 1.1977 eV per atom
DOS(E_F): 1.65 states/eV per atom
magnetization: 13.30 μB/cell

Geometry as CIF:
```
data_TaCrCl4
_cell_length_a 7.999
_cell_length_b 7.999
_cell_length_c 7.999
_cell_angle_alpha 90.00
_cell_angle_beta 90.00
_cell_angle_gamma 90.00
_symmetry_space_group_name_H-M 'F -4 3 m'
_symmetry_Int_Tables_number 216
_symmetry_space_group_name_Hall 'F -4 2 3'
loop_
_atom_site_label
_atom_site_fract_x
_atom_site_fract_y
_atom_site_fract_z
Ta1 0.000 0.000 0.000
Cr1 0.250 0.250 0.250
Cl1 0.126 0.126 0.626
```

=====

## SmLuMgHg (PBE)

Data for SmLuMgHg after structural relaxation.

Results
E_form: -0.25 eV per atom
DOS(E_F): 1.03 states/eV per atom
magnetization: 0.00 μB/cell

Geometry as CIF:
```
data_SmLuMgHg
_cell_length_a 7.496
_cell_length_b 7.496
_cell_length_c 7.496
_cell_angle_alpha 90.00
_cell_angle_beta 90.00
_cell_angle_gamma 90.00
_symmetry_space_group_name_H-M 'F -4 3 m'
_symmetry_Int_Tables_number 216
_symmetry_space_group_name_Hall 'F -4 2 3'
loop_
_atom_site_label
_atom_site_fract_x
_atom_site_fract_y
_atom_site_fract_z
Sm1 0.000 0.000 0.000
Lu1 0.000 0.000 0.500
Mg1 0.250 0.250 0.750
Hg1 0.250 0.250 0.250
```

=====

## CsCuHg2 (PBE)

Data for CsCuHg2 after structural relaxation.

Results
E_form: 0.00 eV per atom
DOS(E_F): 0.01 states/eV per atom
magnetization: 0.00 μB/cell
offset from the most stable computed form: 0 meV/atom

Geometry as CIF:
```
data_CsCuHg2
_cell_length_a 6.232
_cell_length_b 6.232
_cell_length_c 16.692
_cell_angle_alpha 90.00
_cell_angle_beta 90.00
_cell_angle_gamma 90.00
_symmetry_space_group_name_H-M 'I -4 2 d'
_symmetry_Int_Tables_number 122
_symmetry_space_group_name_Hall 'I -4 2bw'
loop_
_atom_site_label
_atom_site_fract_x
_atom_site_fract_y
_atom_site_fract_z
Cs1 0.000 0.000 0.000
Cu1 0.000 0.000 0.500
Hg1 0.004 0.250 0.625
```

=====

## Ho5RuAu2 (PBE)

Data for Ho5RuAu2 after structural relaxation.

Results
E_form: -0.60 eV per atom
DOS(E_F): 0.85 states/eV per atom
magnetization: 0.00 μB/cell

Geometry as CIF:
```
data_Ho5RuAu2
_cell_length_a 7.283
_cell_length_b 11.646
_cell_length_c 4.681
_cell_angle_alpha 90.00
_cell_angle_beta 90.00
_cell_angle_gamma 90.00
_symmetry_space_group_name_H-M 'P b a m'
_symmetry_Int_Tables_number 55
loop_
_symmetry_equiv_pos_as_xyz
'x,y,z'
'-x,-y,-z'
'-x,-y,z'
'x,y,-z'
'x+1/2,-y+1/2,-z'
'-x+1/2,y+1/2,z'
'-x+1/2,y+1/2,-z'
'x+1/2,-y+1/2,z'
loop_
_atom_site_label
_atom_site_fract_x
_atom_site_fract_y
_atom_site_fract_z
Ho1 0.000 0.000 0.000
Ho2 0.153 0.294 0.000
Ho3 0.180 0.584 0.500
Ru1 0.000 0.500 0.000
Au1 0.069 0.837 0.500
```

=====

## Mg4AlPb3 (PBE)

Data for Mg4AlPb3 after structural relaxation.

Results
E_form: -0.01 eV per atom
DOS(E_F): 0.42 states/eV per atom
magnetization: 0.00 μB/cell

Geometry as CIF:
```
data_Mg4AlPb3
_cell_length_a 3.527
_cell_length_b 3.527
_cell_length_c 15.873
_cell_angle_alpha 90.00
_cell_angle_beta 90.00
_cell_angle_gamma 90.00
_symmetry_space_group_name_H-M 'P 4/m m m'
_symmetry_Int_Tables_number 123
_symmetry_space_group_name_Hall '-P 4 2'
loop_
_atom_site_label
_atom_site_fract_x
_atom_site_fract_y
_atom_site_fract_z
Mg1 0.000 0.000 0.103
Mg2 0.000 0.000 0.369
Al1 0.500 0.500 0.000
Pb1 0.500 0.500 0.236
Pb2 0.500 0.500 0.500
```

=====

## AlSbAs (PBE)

Data for AlSbAs after structural relaxation.

Results
formation energy without anion corrections: -0.0820 eV per atom
DOS(E_F): 0.05 states/eV per atom
magnetization: 0.00 μB/cell

Geometry as CIF:
```
data_AlSbAs
_cell_length_a 11.377
_cell_length_b 4.345
_cell_length_c 6.884
_cell_angle_alpha 90.00
_cell_angle_beta 108.25
_cell_angle_gamma 90.00
_symmetry_space_group_name_H-M 'C 1 m 1'
_symmetry_Int_Tables_number 8
loop_
_symmetry_equiv_pos_as_xyz
'x,y,z'
'x,-y,z'
'x+1/2,y+1/2,z'
'x+1/2,-y+1/2,z'
loop_
_atom_site_label
_atom_site_fract_x
_atom_site_fract_y
_atom_site_fract_z
Al1 0.000 0.000 0.000
Al2 0.233 0.000 0.562
Sb1 0.147 0.500 0.021
Sb2 0.351 0.000 0.272
As1 0.007 0.000 0.368
As2 0.280 0.500 0.761
```

=====

## Na2LiIrOs (PBE)

Data for Na2LiIrOs after structural relaxation.

Results
E_form: 1.20 eV per atom
DOS(E_F): 0.65 states/eV per atom
magnetization: 1.99 μB/cell

Geometry as CIF:
```
data_Na2LiIrOs
_cell_length_a 4.092
_cell_length_b 4.092
_cell_length_c 4.714
_cell_angle_alpha 90.00
_cell_angle_beta 90.00
_cell_angle_gamma 90.00
_symmetry_space_group_name_H-M 'P 4/m m m'
_symmetry_Int_Tables_number 123
_symmetry_space_group_name_Hall '-P 4 2'
loop_
_atom_site_label
_atom_site_fract_x
_atom_site_fract_y
_atom_site_fract_z
Na1 0.000 0.500 0.000
Li1 0.000 0.000 0.000
Ir1 0.000 0.000 0.500
Os1 0.500 0.500 0.500
```

=====

## NbAlRu2 (PBE)

Data for NbAlRu2 after structural relaxation.

Results
E_form: 0.24 eV per atom
DOS(E_F): 0.44 states/eV per atom
magnetization: 0.00 μB/cell

Geometry as CIF:
```
data_NbAlRu2
_cell_length_a 6.733
_cell_length_b 6.733
_cell_length_c 5.810
_cell_angle_alpha 90.00
_cell_angle_beta 90.00
_cell_angle_gamma 90.00
_symmetry_space_group_name_H-M 'I -4 2 d'
_symmetry_Int_Tables_number 122
_symmetry_space_group_name_Hall 'I -4 2bw'
loop_
_atom_site_label
_atom_site_fract_x
_atom_site_fract_y
_atom_site_fract_z
Nb1 0.000 0.000 0.000
Al1 0.000 0.000 0.500
Ru1 0.245 0.250 0.625
```

=====

## CdFe3Pb (PBE)

Data for CdFe3Pb after structural relaxation.

Results
E_form: 1.38 eV per atom
DOS(E_F): 2.20 states/eV per atom
magnetization: 8.84 μB/cell
offset from the most stable computed form: 0 meV/atom

Geometry as CIF:
```
data_CdFe3Pb
_cell_length_a 4.823
_cell_length_b 4.823
_cell_length_c 4.823
_cell_angle_alpha 90.00
_cell_angle_beta 90.00
_cell_angle_gamma 90.00
_symmetry_space_group_name_H-M 'P m -3 m'
_symmetry_Int_Tables_number 221
_symmetry_space_group_name_Hall '-P 4 2 3'
loop_
_atom_site_label
_atom_site_fract_x
_atom_site_fract_y
_atom_site_fract_z
Cd1 0.000 0.000 0.000
Fe1 0.000 0.000 0.500
Pb1 0.500 0.500 0.500
```

=====

## NaHgGe3 (PBE)

Data for NaHgGe3 after structural relaxation.

Results
E_form: 0.92 eV per atom
DOS(E_F): 0.97 states/eV per atom
magnetization: 0.00 μB/cell
offset from the most stable computed form: 287 meV/atom

Geometry as CIF:
```
data_NaHgGe3
_cell_length_a 5.122
_cell_length_b 5.122
_cell_length_c 5.122
_cell_angle_alpha 90.00
_cell_angle_beta 90.00
_cell_angle_gamma 90.00
_symmetry_space_group_name_H-M 'P m -3 m'
_symmetry_Int_Tables_number 221
_symmetry_space_group_name_Hall '-P 4 2 3'
loop_
_atom_site_label
_atom_site_fract_x
_atom_site_fract_y
_atom_site_fract_z
Na1 0.000 0.000 0.000
Hg1 0.500 0.500 0.500
Ge1 0.000 0.000 0.500
```

=====

## Er8Ir2Ru (PBE)

Data for Er8Ir2Ru after structural relaxation.

Results
E_form: -0.50 eV per atom
DOS(E_F): 0.91 states/eV per atom
magnetization: 0.00 μB/cell
offset from the most stable computed form: 0 meV/atom

Geometry as CIF:
```
data_Er8Ir2Ru
_cell_length_a 17.129
_cell_length_b 4.832
_cell_length_c 6.798
_cell_angle_alpha 90.00
_cell_angle_beta 107.44
_cell_angle_gamma 90.00
_symmetry_space_group_name_H-M 'C 1 2/m 1'
_symmetry_Int_Tables_number 12
loop_
_symmetry_equiv_pos_as_xyz
'x,y,z'
'-x,-y,-z'
'-x,y,-z'
'x,-y,z'
'x+1/2,y+1/2,z'
'-x+1/2,-y+1/2,-z'
'-x+1/2,y+1/2,-z'
'x+1/2,-y+1/2,z'
loop_
_atom_site_label
_atom_site_fract_x
_atom_site_fract_y
_atom_site_fract_z
Er1 0.031 0.000 0.293
Er2 0.096 0.500 0.953
Er3 0.167 0.500 0.463
Er4 0.203 0.000 0.810
Ir1 0.186 0.000 0.201
Ru1 0.000 0.500 0.500
```

=====

## La2PmSm5In (PBE)

Data for La2PmSm5In after structural relaxation.

Results
E_form: -0.02 eV per atom
DOS(E_F): 1.37 states/eV per atom
magnetization: 0.00 μB/cell

Geometry as CIF:
```
data_La2PmSm5In
_cell_length_a 5.579
_cell_length_b 20.199
_cell_length_c 10.845
_cell_angle_alpha 90.00
_cell_angle_beta 90.00
_cell_angle_gamma 90.00
_symmetry_space_group_name_H-M 'C m c 21'
_symmetry_Int_Tables_number 36
loop_
_symmetry_equiv_pos_as_xyz
'x,y,z'
'-x,-y,z+1/2'
'-x,y,z'
'x,-y,z+1/2'
'x+1/2,y+1/2,z'
'-x+1/2,-y+1/2,z+1/2'
'-x+1/2,y+1/2,z'
'x+1/2,-y+1/2,z+1/2'
loop_
_atom_site_label
_atom_site_fract_x
_atom_site_fract_y
_atom_site_fract_z
La1 0.000 0.118 0.000
La2 0.000 0.118 0.408
Pm1 0.000 0.203 0.704
Sm1 0.000 0.013 0.704
Sm2 0.000 0.290 0.007
Sm3 0.000 0.290 0.401
Sm4 0.000 0.385 0.704
Sm5 0.000 0.500 0.454
In1 0.000 0.407 0.203
```